First-principles (GGA-PBE) data for a relaxed structure of ZrSb2Cl, as listed in Alexandria via LeMat-Bulk.

Properties
As for the symmetry: P4/mmm, No. 123. The calculation puts the density of states at the Fermi level at 1.4 states/eV/f.u. Its total energy is -5.1234 eV/atom. The density is 6.1 Mg/m³. As for the energy above the most stable polymorph in this dataset: 0.193 eV per atom.

a b c (Å): 3.805 3.813 6.953
angles (deg): 90.00 90.00 90.00
Fractional positions:
Sb 0.000 0.000 0.040
Zr 0.500 0.500 0.250
Cl 0.500 0.500 0.750
Sb 0.000 0.000 0.460